(1)
# Ag2Cl, relaxed, DFT PBE-GGA
# calculated total energy = -2.07 eV/atom
# mass density = 2.08 g/cm3
# excess energy over the best structure of this formula in the dataset = 0.296 eV per atom
data_Ag2Cl
_symmetry_space_group_name_H-M 'P 1'
_symmetry_Int_Tables_number 1
_symmetry_space_group_name_Hall 'P 1'
_cell_length_a 8.284
_cell_length_b 8.284
_cell_length_c 8.284
_cell_angle_alpha 59.99
_cell_angle_beta 59.99
_cell_angle_gamma 59.99
loop_
_atom_site_label
_atom_site_type_symbol
_atom_site_fract_x
_atom_site_fract_y
_atom_site_fract_z
Ag1 Ag 0.375 0.875 0.375
Ag2 Ag 0.375 0.375 0.375
Ag3 Ag 0.375 0.375 0.875
Ag4 Ag 0.875 0.375 0.375
Cl1 Cl 0.500 0.500 0.500
Cl2 Cl 0.250 0.250 0.250

---

(2)
# CoCuTc, relaxed, DFT PBE-GGA
# ΔE_f = 0.50 eV per atom
# calculated total energy = -6.56 eV/atom
# mass density = 8.85 g/cm3
# excess energy over the best structure of this formula in the dataset = 0.000 eV per atom
data_CoCuTc
_symmetry_space_group_name_H-M 'P 1'
_symmetry_Int_Tables_number 1
_symmetry_space_group_name_Hall 'P 1'
_cell_length_a 3.883
_cell_length_b 3.883
_cell_length_c 3.883
_cell_angle_alpha 60.00
_cell_angle_beta 60.00
_cell_angle_gamma 60.00
loop_
_atom_site_label
_atom_site_type_symbol
_atom_site_fract_x
_atom_site_fract_y
_atom_site_fract_z
Tc1 Tc 0.750 0.750 0.750
Co1 Co 0.000 0.000 0.000
Cu1 Cu 0.250 0.250 0.250

---

(3)
# Mg2Nb, relaxed, DFT PBE-GGA
# calculated total energy = -4.24 eV/atom
# mass density = 3.86 g/cm3
data_Mg2Nb
_symmetry_space_group_name_H-M 'P 1'
_symmetry_Int_Tables_number 1
_symmetry_space_group_name_Hall 'P 1'
_cell_length_a 16.821
_cell_length_b 2.944
_cell_length_c 4.915
_cell_angle_alpha 90.00
_cell_angle_beta 90.00
_cell_angle_gamma 90.00
loop_
_atom_site_label
_atom_site_type_symbol
_atom_site_fract_x
_atom_site_fract_y
_atom_site_fract_z
Nb1 Nb 0.762 0.000 0.500
Nb2 Nb 0.182 0.500 0.000
Nb3 Nb 0.262 0.500 0.500
Nb4 Nb 0.682 0.000 0.000
Mg1 Mg 0.931 0.500 0.500
Mg2 Mg 0.109 0.000 0.500
Mg3 Mg 0.431 0.000 0.500
Mg4 Mg 0.335 0.000 0.000
Mg5 Mg 0.609 0.500 0.500
Mg6 Mg 0.835 0.500 0.000
Mg7 Mg 0.513 0.500 0.000
Mg8 Mg 0.013 0.000 0.000

---

(4)
# ScAlFeTc, relaxed, DFT PBE-GGA
# calculated total energy = -7.24 eV/atom
# mass density = 6.13 g/cm3
# excess energy over the best structure of this formula in the dataset = 0.113 eV per atom
data_ScAlFeTc
_symmetry_space_group_name_H-M 'P 1'
_symmetry_Int_Tables_number 1
_symmetry_space_group_name_Hall 'P 1'
_cell_length_a 4.423
_cell_length_b 4.423
_cell_length_c 4.423
_cell_angle_alpha 60.00
_cell_angle_beta 60.00
_cell_angle_gamma 60.00
loop_
_atom_site_label
_atom_site_type_symbol
_atom_site_fract_x
_atom_site_fract_y
_atom_site_fract_z
Fe1 Fe 0.750 0.750 0.750
Sc1 Sc 0.250 0.250 0.250
Al1 Al 0.000 0.000 0.000
Tc1 Tc 0.500 0.500 0.500

---

(5)
# TmSiPt, relaxed, DFT PBE-GGA
# calculated total energy = -5.91 eV/atom
# mass density = 11.72 g/cm3
data_TmSiPt
_symmetry_space_group_name_H-M 'P 1'
_symmetry_Int_Tables_number 1
_symmetry_space_group_name_Hall 'P 1'
_cell_length_a 7.749
_cell_length_b 7.749
_cell_length_c 3.205
_cell_angle_alpha 90.00
_cell_angle_beta 90.00
_cell_angle_gamma 120.00
loop_
_atom_site_label
_atom_site_type_symbol
_atom_site_fract_x
_atom_site_fract_y
_atom_site_fract_z
Si1 Si 0.333 0.667 0.500
Si2 Si 0.000 0.000 0.000
Si3 Si 0.667 0.333 0.500
Tm1 Tm 0.000 0.292 0.500
Tm2 Tm 0.292 0.000 0.500
Tm3 Tm 0.708 0.708 0.500
Pt1 Pt 0.000 0.642 0.000
Pt2 Pt 0.642 0.000 0.000
Pt3 Pt 0.358 0.358 0.000

---

(6)
# MgNbCu, relaxed, DFT PBE-GGA
# calculated total energy = -4.14 eV/atom
# mass density = 5.14 g/cm3
data_MgNbCu
_symmetry_space_group_name_H-M 'P 1'
_symmetry_Int_Tables_number 1
_symmetry_space_group_name_Hall 'P 1'
_cell_length_a 4.356
_cell_length_b 4.356
_cell_length_c 4.356
_cell_angle_alpha 60.00
_cell_angle_beta 60.00
_cell_angle_gamma 60.00
loop_
_atom_site_label
_atom_site_type_symbol
_atom_site_fract_x
_atom_site_fract_y
_atom_site_fract_z
Nb1 Nb 0.000 0.000 0.000
Mg1 Mg 0.750 0.750 0.750
Cu1 Cu 0.250 0.250 0.250

---

(7)
# BeZnSO, relaxed, DFT PBE-GGA
# calculated total energy = -4.88 eV/atom
# mass density = 3.94 g/cm3
# excess energy over the best structure of this formula in the dataset = 0.151 eV per atom
data_BeZnSO
_symmetry_space_group_name_H-M 'P 1'
_symmetry_Int_Tables_number 1
_symmetry_space_group_name_Hall 'P 1'
_cell_length_a 5.777
_cell_length_b 6.463
_cell_length_c 5.525
_cell_angle_alpha 90.00
_cell_angle_beta 90.00
_cell_angle_gamma 90.00
loop_
_atom_site_label
_atom_site_type_symbol
_atom_site_fract_x
_atom_site_fract_y
_atom_site_fract_z
Zn1 Zn 0.397 0.118 0.966
Zn2 Zn 0.103 0.118 0.466
Zn3 Zn 0.897 0.882 0.966
Zn4 Zn 0.603 0.882 0.466
Be1 Be 0.057 0.656 0.530
Be2 Be 0.943 0.344 0.030
Be3 Be 0.443 0.656 0.030
Be4 Be 0.557 0.344 0.530
S1 S 0.099 0.622 0.153
S2 S 0.901 0.378 0.653
S3 S 0.401 0.622 0.653
S4 S 0.599 0.378 0.153
O1 O 0.930 0.867 0.601
O2 O 0.570 0.867 0.101
O3 O 0.070 0.133 0.101
O4 O 0.430 0.133 0.601

---

(8)
# LiAsPd2, relaxed, DFT PBE-GGA
# calculated total energy = -4.63 eV/atom
# mass density = 7.70 g/cm3
data_LiAsPd2
_symmetry_space_group_name_H-M 'P 1'
_symmetry_Int_Tables_number 1
_symmetry_space_group_name_Hall 'P 1'
_cell_length_a 4.372
_cell_length_b 4.372
_cell_length_c 7.678
_cell_angle_alpha 90.00
_cell_angle_beta 90.00
_cell_angle_gamma 120.00
loop_
_atom_site_label
_atom_site_type_symbol
_atom_site_fract_x
_atom_site_fract_y
_atom_site_fract_z
Li1 Li 0.000 0.000 0.500
Li2 Li 0.000 0.000 0.000
Pd1 Pd 0.333 0.667 0.579
Pd2 Pd 0.667 0.333 0.079
Pd3 Pd 0.667 0.333 0.421
Pd4 Pd 0.333 0.667 0.921
As1 As 0.333 0.667 0.250
As2 As 0.667 0.333 0.750

---

(9)
# BaBeGePd, relaxed, DFT PBE-GGA
# calculated total energy = -3.58 eV/atom
# mass density = 6.08 g/cm3
# excess energy over the best structure of this formula in the dataset = 0.084 eV per atom
data_BaBeGePd
_symmetry_space_group_name_H-M 'P 1'
_symmetry_Int_Tables_number 1
_symmetry_space_group_name_Hall 'P 1'
_cell_length_a 5.010
_cell_length_b 5.010
_cell_length_c 5.010
_cell_angle_alpha 60.00
_cell_angle_beta 60.00
_cell_angle_gamma 60.00
loop_
_atom_site_label
_atom_site_type_symbol
_atom_site_fract_x
_atom_site_fract_y
_atom_site_fract_z
Pd1 Pd 0.500 0.500 0.500
Ge1 Ge 0.000 0.000 0.000
Be1 Be 0.750 0.750 0.750
Ba1 Ba 0.250 0.250 0.250

---

(10)
# AcZr, relaxed, DFT PBE-GGA
# ΔE_f = 0.23 eV per atom
# calculated total energy = -6.09 eV/atom
# mass density = 8.05 g/cm3
# excess energy over the best structure of this formula in the dataset = 0.094 eV per atom
data_AcZr
_symmetry_space_group_name_H-M 'P 1'
_symmetry_Int_Tables_number 1
_symmetry_space_group_name_Hall 'P 1'
_cell_length_a 5.593
_cell_length_b 11.336
_cell_length_c 5.339
_cell_angle_alpha 90.00
_cell_angle_beta 90.00
_cell_angle_gamma 75.70
loop_
_atom_site_label
_atom_site_type_symbol
_atom_site_fract_x
_atom_site_fract_y
_atom_site_fract_z
Zr1 Zr 0.080 0.162 0.500
Zr2 Zr 0.642 0.038 0.500
Zr3 Zr 0.777 0.600 0.500
Zr4 Zr 0.984 0.040 0.000
Zr5 Zr 0.425 0.160 0.000
Ac1 Ac 0.281 0.600 0.000
Ac2 Ac 0.179 0.835 0.500
Ac3 Ac 0.661 0.829 0.000
Ac4 Ac 0.889 0.371 0.000
Ac5 Ac 0.414 0.365 0.500

---

(11)
# NpSiSn, relaxed, DFT PBE-GGA
# calculated total energy = -7.25 eV/atom
# mass density = 8.91 g/cm3
# excess energy over the best structure of this formula in the dataset = 0.000 eV per atom
data_NpSiSn
_symmetry_space_group_name_H-M 'P 1'
_symmetry_Int_Tables_number 1
_symmetry_space_group_name_Hall 'P 1'
_cell_length_a 4.659
_cell_length_b 4.659
_cell_length_c 4.659
_cell_angle_alpha 60.00
_cell_angle_beta 60.00
_cell_angle_gamma 60.00
loop_
_atom_site_label
_atom_site_type_symbol
_atom_site_fract_x
_atom_site_fract_y
_atom_site_fract_z
Sn1 Sn 0.750 0.750 0.750
Np1 Np 0.250 0.250 0.250
Si1 Si 0.000 0.000 0.000

---

(12)
# Pm2GeO4, relaxed, DFT PBE-GGA
# calculated total energy = -7.35 eV/atom
# mass density = 6.02 g/cm3
data_Pm2GeO4
_symmetry_space_group_name_H-M 'P 1'
_symmetry_Int_Tables_number 1
_symmetry_space_group_name_Hall 'P 1'
_cell_length_a 6.931
_cell_length_b 6.931
_cell_length_c 6.931
_cell_angle_alpha 120.00
_cell_angle_beta 90.01
_cell_angle_gamma 120.00
loop_
_atom_site_label
_atom_site_type_symbol
_atom_site_fract_x
_atom_site_fract_y
_atom_site_fract_z
O1 O 0.134 0.269 0.866
O2 O 0.597 0.731 0.866
O3 O 0.134 0.269 0.403
O4 O 0.153 0.769 0.384
O5 O 0.616 0.231 0.847
O6 O 0.616 0.769 0.384
O7 O 0.134 0.731 0.866
O8 O 0.616 0.231 0.384
Pm1 Pm 0.375 0.750 0.125
Pm2 Pm 0.875 0.250 0.625
Pm3 Pm 0.375 0.750 0.625
Pm4 Pm 0.375 0.250 0.625
Ge1 Ge 0.750 0.500 0.250
Ge2 Ge 0.000 0.000 0.000

---

(13)
# PaPdPb, relaxed, DFT PBE-GGA
# calculated total energy = -5.82 eV/atom
# mass density = 10.64 g/cm3
data_PaPdPb
_symmetry_space_group_name_H-M 'P 1'
_symmetry_Int_Tables_number 1
_symmetry_space_group_name_Hall 'P 1'
_cell_length_a 4.935
_cell_length_b 4.935
_cell_length_c 4.935
_cell_angle_alpha 60.00
_cell_angle_beta 60.00
_cell_angle_gamma 60.00
loop_
_atom_site_label
_atom_site_type_symbol
_atom_site_fract_x
_atom_site_fract_y
_atom_site_fract_z
Pd1 Pd 0.750 0.750 0.750
Pa1 Pa 0.000 0.000 0.000
Pb1 Pb 0.250 0.250 0.250

---

(14)
# Li2NbAu, relaxed, DFT PBE-GGA
# calculated total energy = -4.28 eV/atom
# mass density = 8.15 g/cm3
data_Li2NbAu
_symmetry_space_group_name_H-M 'P 1'
_symmetry_Int_Tables_number 1
_symmetry_space_group_name_Hall 'P 1'
_cell_length_a 4.440
_cell_length_b 4.440
_cell_length_c 4.440
_cell_angle_alpha 60.00
_cell_angle_beta 60.00
_cell_angle_gamma 60.00
loop_
_atom_site_label
_atom_site_type_symbol
_atom_site_fract_x
_atom_site_fract_y
_atom_site_fract_z
Li1 Li 0.750 0.750 0.750
Li2 Li 0.000 0.000 0.000
Nb1 Nb 0.500 0.500 0.500
Au1 Au 0.250 0.250 0.250

---

(15)
# Y2CoNiBr2, relaxed, DFT PBE-GGA
# calculated total energy = -5.87 eV/atom
# mass density = 5.12 g/cm3
data_Y2CoNiBr2
_symmetry_space_group_name_H-M 'P 1'
_symmetry_Int_Tables_number 1
_symmetry_space_group_name_Hall 'P 1'
_cell_length_a 3.899
_cell_length_b 3.899
_cell_length_c 11.216
_cell_angle_alpha 90.00
_cell_angle_beta 90.00
_cell_angle_gamma 120.00
loop_
_atom_site_label
_atom_site_type_symbol
_atom_site_fract_x
_atom_site_fract_y
_atom_site_fract_z
Co1 Co 0.000 0.000 0.505
Br1 Br 0.000 0.000 0.161
Br2 Br 0.333 0.667 0.839
Y1 Y 0.667 0.333 0.334
Y2 Y 0.667 0.333 0.667
Ni1 Ni 0.333 0.667 0.494

---

(16)
# Al17Mo4, relaxed, DFT PBE-GGA
# calculated total energy = -5.36 eV/atom
# mass density = 4.29 g/cm3
data_Al17Mo4
_symmetry_space_group_name_H-M 'P 1'
_symmetry_Int_Tables_number 1
_symmetry_space_group_name_Hall 'P 1'
_cell_length_a 5.212
_cell_length_b 5.212
_cell_length_c 28.948
_cell_angle_alpha 95.86
_cell_angle_beta 95.86
_cell_angle_gamma 56.54
loop_
_atom_site_label
_atom_site_type_symbol
_atom_site_fract_x
_atom_site_fract_y
_atom_site_fract_z
Al1 Al 0.434 0.370 0.144
Al2 Al 0.464 0.084 0.977
Al3 Al 0.081 0.665 0.743
Al4 Al 0.503 0.132 0.880
Al5 Al 0.773 0.775 0.477
Al6 Al 0.551 0.513 0.951
Al7 Al 0.135 0.118 0.804
Al8 Al 0.732 0.389 0.406
Al9 Al 0.810 0.442 0.303
Al10 Al 0.824 0.810 0.380
Al11 Al 0.630 0.566 0.856
Al12 Al 0.256 0.940 0.356
Al13 Al 0.882 0.865 0.196
Al14 Al 0.138 0.799 0.550
Al15 Al 0.868 0.497 0.120
Al16 Al 0.035 0.965 0.000
Al17 Al 0.356 0.389 0.243
Al18 Al 0.060 0.744 0.644
Al19 Al 0.916 0.536 0.023
Al20 Al 0.611 0.268 0.594
Al21 Al 0.957 0.920 0.094
Al22 Al 0.487 0.449 0.049
Al23 Al 0.652 0.348 0.500
Al24 Al 0.080 0.043 0.906
Al25 Al 0.611 0.644 0.757
Al26 Al 0.335 0.919 0.257
Al27 Al 0.368 0.370 0.336
Al28 Al 0.190 0.176 0.620
Al29 Al 0.225 0.227 0.523
Al30 Al 0.558 0.190 0.697
Al31 Al 0.201 0.862 0.450
Al32 Al 0.061 0.677 0.836
Al33 Al 0.323 0.939 0.164
Al34 Al 0.630 0.632 0.664
Mo1 Mo 0.098 0.126 0.710
Mo2 Mo 0.593 0.183 0.791
Mo3 Mo 0.294 0.297 0.430
Mo4 Mo 0.874 0.902 0.290
Mo5 Mo 0.703 0.706 0.570
Mo6 Mo 0.988 0.605 0.930
Mo7 Mo 0.395 0.012 0.070
Mo8 Mo 0.817 0.407 0.209